# 1
A plane-wave DFT calculation with PBE was carried out for a relaxed structure of Ba2NaCd6Pd.

- VASP energy: -1.695 eV per atom
- ΔE_f: -2.5 kcal/mol of atoms
- Calculated density: 5.54 g/cm³

Cell lengths 10.8970, 10.8970, 10.8970 Å; angles 90.00, 90.00, 90.00 degrees
Space group Fm-3m (No. 225)
Inequivalent atoms, fractional coordinates:
Ba 0.2500 0.2500 0.2500 [8 per cell]
Na 0.0000 0.0000 0.0000 [4 per cell]
Cd 0.0000 0.0000 0.2574 [24 per cell]
Pd 0.0000 0.0000 0.5000 [4 per cell]

# 2
A plane-wave DFT calculation with PBE was carried out for a relaxed structure of Sm3Dy2Os2.

- VASP energy: -6.720 eV per atom
- ΔE_f: -4.0 kcal/mol of atoms
- Calculated density: 10.20 g/cm³

Cell lengths 12.1525, 4.0016, 8.3513 Å; angles 90.00, 111.98, 90.00 degrees
Space group C2/m (No. 12)
Inequivalent atoms, fractional coordinates:
Sm 0.0000 0.0000 0.0000 [2 per cell]
Sm 0.1236 0.0000 0.4311 [4 per cell]
Dy 0.1690 0.5000 0.8197 [4 per cell]
Os 0.1807 0.5000 0.2146 [4 per cell]

# 3
A plane-wave DFT calculation with PBE was carried out for a relaxed structure of CaSmZnPd.

- VASP energy: -3.804 eV per atom
- ΔE_f: -11.7 kcal/mol of atoms
- Energy above the most stable polymorph in this dataset: 0.61 kcal/mol of atoms
- Calculated density: 6.49 g/cm³

Cell lengths 7.1823, 7.1823, 7.1823 Å; angles 90.00, 90.00, 90.00 degrees
Space group F-43m (No. 216)
Inequivalent atoms, fractional coordinates:
Ca 0.0000 0.0000 0.0000 [4 per cell]
Sm 0.0000 0.0000 0.5000 [4 per cell]
Zn 0.2500 0.2500 0.7500 [4 per cell]
Pd 0.2500 0.2500 0.2500 [4 per cell]

Number 1: Fermi-level density of states 0.846 states/eV per atom. Number 2: Fermi-level density of states 0.733 states/eV per atom. Number 3: Fermi-level density of states 0.715 states/eV per atom.